A plane-wave DFT calculation with GGA-PBE was carried out for a relaxed structure of AcBi2Pb2.

Formation energy from the elements (eV/atom): -0.41

Cell lengths 4.8100, 4.8683, 14.6276 Å; angles 90.00, 99.46, 90.00 degrees
Positions (direct):
Ac  0.3431  0.2500  0.6862
Ac  0.6569  0.7500  0.3138
Bi  0.7497  0.2500  0.4994
Bi  0.2503  0.7500  0.5006
Bi  0.8660  0.7500  0.7320
Bi  0.1340  0.2500  0.2680
Pb  0.0471  0.7500  0.0942
Pb  0.4534  0.7500  0.9067
Pb  0.9529  0.2500  0.9058
Pb  0.5466  0.2500  0.0933

***

A plane-wave DFT calculation with GGA-PBE was carried out for a relaxed structure of Ac4Bi3Pb.

Formation energy from the elements (eV/atom): -0.85

Cell lengths 6.9006, 6.9006, 6.9006 Å; angles 90.00, 90.00, 90.00 degrees
Positions (direct):
Pb  0.0000  0.0000  0.0000
Ac  0.5000  0.0000  0.0000
Ac  0.0000  0.5000  0.0000
Ac  0.0000  0.0000  0.5000
Ac  0.5000  0.5000  0.5000
Bi  0.0000  0.5000  0.5000
Bi  0.5000  0.0000  0.5000
Bi  0.5000  0.5000  0.0000

***

A plane-wave DFT calculation with GGA-PBE was carried out for a relaxed structure of Ac8Bi5Pb.

Formation energy from the elements (eV/atom): -0.77

Cell lengths 8.8942, 8.8942, 8.8942 Å; angles 109.52, 109.37, 109.52 degrees
Positions (direct):
Ac  0.1263  0.7501  0.0146
Ac  0.9854  0.1117  0.7355
Ac  0.7685  0.2507  0.3765
Ac  0.6235  0.3921  0.8743
Ac  0.4822  0.6079  0.2315
Ac  0.6238  0.8883  0.8737
Ac  0.2645  0.2499  0.3762
Ac  0.1257  0.7493  0.5178
Bi  0.9984  0.3749  0.1251
Bi  0.8749  0.8734  0.2498
Bi  0.7502  0.6251  0.6236
Bi  0.5000  0.0000  0.5000
Bi  0.3764  0.1266  0.0016
Pb  0.2500  0.5000  0.7500

***

A plane-wave DFT calculation with GGA-PBE was carried out for a relaxed structure of Ac5Bi2Pb2.

Formation energy from the elements (eV/atom): -0.72

Cell lengths 9.1046, 9.0346, 9.6747 Å; angles 117.83, 90.00, 90.00 degrees
Positions (direct):
Ac  0.0000  0.0000  0.0000
Ac  0.5000  0.5000  0.0000
Ac  0.8354  0.8035  0.2707
Ac  0.1646  0.4671  0.2707
Ac  0.3354  0.9671  0.2707
Ac  0.6646  0.3035  0.2707
Ac  0.1646  0.1965  0.7293
Ac  0.8354  0.5329  0.7293
Ac  0.6646  0.0329  0.7293
Ac  0.3354  0.6965  0.7293
Bi  0.0000  0.2028  0.4056
Bi  0.5000  0.7028  0.4056
Bi  0.0000  0.7972  0.5944
Bi  0.5000  0.2972  0.5944
Pb  0.6351  0.8651  0.0000
Pb  0.3649  0.1349  0.0000
Pb  0.1351  0.6349  0.0000
Pb  0.8649  0.3651  0.0000

***

A plane-wave DFT calculation with GGA-PBE was carried out for a relaxed structure of AcBi6Pb.

Formation energy from the elements (eV/atom): -0.20

Cell lengths 5.4690, 6.9757, 6.9757 Å; angles 88.52, 90.00, 90.00 degrees
Positions (direct):
Ac  0.5000  0.1075  0.8925
Bi  0.5000  0.1590  0.3922
Bi  0.5000  0.6078  0.8410
Bi  0.0000  0.3605  0.1485
Bi  0.0000  0.8515  0.6395
Bi  0.0000  0.3624  0.6376
Bi  0.0000  0.8698  0.1302
Pb  0.5000  0.6814  0.3186

***

A plane-wave DFT calculation with GGA-PBE was carried out for a relaxed structure of Ac8Bi4Pb3.

Formation energy from the elements (eV/atom): -0.67

Cell lengths 9.6564, 9.6929, 9.6929 Å; angles 90.10, 119.81, 119.81 degrees
Positions (direct):
Ac  0.4948  0.2485  0.2485
Ac  0.0000  0.7533  0.2467
Ac  0.0046  0.2489  0.2489
Ac  0.5000  0.7496  0.2504
Ac  0.5000  0.2504  0.7496
Ac  0.9954  0.7511  0.7511
Ac  0.0000  0.2467  0.7533
Ac  0.5052  0.7515  0.7515
Bi  0.5000  0.0000  0.0000
Bi  0.0000  0.5000  0.0000
Bi  0.0000  0.0000  0.0000
Bi  0.0000  0.0000  0.5000
Pb  0.5000  0.5000  0.0000
Pb  0.5000  0.0000  0.5000
Pb  0.5000  0.5000  0.5000

***

A plane-wave DFT calculation with GGA-PBE was carried out for a relaxed structure of Ac4Bi7Pb5.

Formation energy from the elements (eV/atom): -0.46

Cell lengths 6.8309, 6.8309, 12.6604 Å; angles 105.65, 105.65, 90.00 degrees
Positions (direct):
Ac  0.1415  0.1415  0.7705
Ac  0.6290  0.6290  0.7705
Ac  0.8585  0.3710  0.2295
Ac  0.3710  0.8585  0.2295
Bi  0.8926  0.8926  0.2683
Bi  0.3757  0.3757  0.2683
Bi  0.1074  0.6243  0.7317
Bi  0.6243  0.1074  0.7317
Bi  0.5000  0.5000  0.0000
Bi  0.5000  0.0000  0.0000
Bi  0.0000  0.5000  0.0000
Pb  0.7504  0.7504  0.5007
Pb  0.2496  0.2496  0.4993
Pb  0.2500  0.7500  0.5000
Pb  0.7500  0.2500  0.5000
Pb  0.0000  0.0000  0.0000

***

A plane-wave DFT calculation with GGA-PBE was carried out for a relaxed structure of Ac2BiPb.

Formation energy from the elements (eV/atom): -0.76

Cell lengths 4.8013, 4.9502, 13.5081 Å; angles 100.56, 90.00, 90.00 degrees
Positions (direct):
Ac  0.7500  0.6839  0.3678
Ac  0.2500  0.3161  0.6322
Ac  0.7500  0.9369  0.8737
Ac  0.2500  0.0631  0.1263
Bi  0.2500  0.1885  0.3771
Bi  0.7500  0.8115  0.6229
Pb  0.2500  0.4550  0.9101
Pb  0.7500  0.5450  0.0899